The following is a PBE-GGA calculation of a geometry-optimized LaGdGa structure, from Alexandria.

ΔE to the lowest computed polymorph = 7.3 kJ/mol of atoms
Density of states at the Fermi level = 1.105 states/eV/atom
Symmetry = No. 216
DFT formation energy = -0.87 eV per formula unit

Cell lengths 5.1072, 5.1072, 5.1072 Å; angles 60.00, 60.00, 60.00 degrees
Last column: nearest neighbours and their distance in Å.
Element x y z (fractional)
La 0.5000 0.5000 0.5000  4 Ga 3.13
Ga 0.2500 0.2500 0.2500  4 La 3.13, 4 Gd 3.13
Gd 0.0000 0.0000 0.0000  4 Ga 3.13



The following is a PBE-GGA calculation of a geometry-optimized CsSrSiHRh structure, from Alexandria.

ΔE to the lowest computed polymorph = 1.0 kJ/mol of atoms
Density of states at the Fermi level = 0.267 states/eV/atom
Symmetry = No. 6

Cell lengths 5.1334, 4.2067, 6.7653 Å; angles 90.00, 111.47, 90.00 degrees
Last column: nearest neighbours and their distance in Å.
Element x y z (fractional)
Si 0.9616 0.5000 0.2216  2 Rh 2.31
Sr 0.3520 0.0000 0.0878  1 H 2.82, 2 Rh 3.09-3.13
Rh 0.9825 0.0000 0.3673  1 H 1.72
Cs 0.6461 0.5000 0.6521  4 H 3.32, 2 Si 3.59-3.65, 2 Rh 3.68
H 0.1396 0.0000 0.6399  1 Rh 1.72



The following is a PBE-GGA calculation of a geometry-optimized CeTiAl2 structure, from Alexandria.

ΔE to the lowest computed polymorph = 19.3 kJ/mol of atoms
Density of states at the Fermi level = 1.373 states/eV/atom
Symmetry = No. 166
DFT formation energy = -0.59 eV per formula unit

Cell lengths 2.9578, 2.9578, 10.2920 Å; angles 81.74, 81.74, 60.00 degrees
Last column: nearest neighbours and their distance in Å.
Element x y z (fractional)
Ce 0.5000 0.5000 0.5000  6 Ce 2.96, 6 Al 3.27
Ti 0.0000 0.0000 0.0000  6 Al 2.85, 6 Ti 2.96
Al 0.2584 0.2584 0.2248  3 Ti 2.85, 6 Al 2.96
Al 0.7416 0.7416 0.7752  3 Ti 2.85, 6 Al 2.96



The following is a PBE-GGA calculation of a geometry-optimized Ta2Ni structure, from Alexandria.

Density of states at the Fermi level = 0.798 states/eV/atom
Symmetry = No. 12
DFT formation energy = -0.23 eV per formula unit

Cell lengths 5.6984, 5.6984, 6.2258 Å; angles 75.54, 75.54, 29.25 degrees
Last column: nearest neighbours and their distance in Å.
Element x y z (fractional)
Ni 0.9848 0.9848 0.7995  3 Ni 2.60-2.88, 8 Ta 2.62-2.83
Ta 0.6382 0.6382 0.4385  4 Ni 2.67-2.83, 6 Ta 2.88-2.95
Ta 0.3618 0.3618 0.5615  4 Ni 2.67-2.83, 6 Ta 2.88-2.95
Ta 0.3332 0.3332 0.1064  4 Ni 2.62-2.65, 5 Ta 2.88-2.93
Ni 0.0152 0.0152 0.2005  3 Ni 2.60-2.88, 8 Ta 2.62-2.83
Ta 0.6668 0.6668 0.8936  4 Ni 2.62-2.65, 5 Ta 2.88-2.93